Model one:
This record from Alexandria describes crystalline AcPmTl at its relaxed geometry. The functional is GGA-PBE.

a = 3.8820 Å, b = 3.8820 Å, c = 7.5285 Å
α = 104.94°, β = 104.94°, γ = 90.00°
Closest atoms and distances in Å follow each position.
Fractional coordinates of all 3 atoms:
Tl 0.6052 0.6052 0.2104  4 Pm 3.34, 4 Ac 3.64
Ac 0.2753 0.2753 0.5506  4 Tl 3.64, 4 Pm 3.87, 4 Ac 3.88
Pm 0.9695 0.9695 0.9390  4 Tl 3.34

Calculated values
As for the total magnetization: 0.00 μB per cell. The calculation puts the volume at 35.214 Å³ per atom. As for the space group: I4mm (107).


Model two:
This record from Alexandria describes crystalline AcPmTl at its relaxed geometry. The functional is GGA-PBE.

a = 6.8026 Å, b = 6.8026 Å, c = 6.8026 Å
α = 40.30°, β = 40.30°, γ = 40.30°
Closest atoms and distances in Å follow each position.
Fractional coordinates of all 3 atoms:
Ac 0.9869 0.9869 0.9869  3 Tl 3.35, 1 Pm 3.59
Tl 0.5479 0.5479 0.5479  3 Pm 3.15, 3 Ac 3.35
Pm 0.7954 0.7954 0.7954  3 Tl 3.15

Calculated values
As for the total magnetization: 0.00 μB per cell. The calculation puts the volume at 39.570 Å³ per atom. As for the space group: R3m (160).


Model three:
This record from Alexandria describes crystalline AcPmTl at its relaxed geometry. The functional is GGA-PBE.

a = 4.9847 Å, b = 4.9847 Å, c = 8.6605 Å
α = 90.00°, β = 90.00°, γ = 90.00°
Closest atoms and distances in Å follow each position.
Fractional coordinates of all 6 atoms:
Tl 0.0000 0.5000 0.2447  4 Pm 3.33, 5 Ac 3.39-3.63
Ac 0.5000 0.0000 0.1465  5 Tl 3.39-3.63
Ac 0.0000 0.5000 0.8535  5 Tl 3.39-3.63
Pm 0.5000 0.5000 0.5000  4 Tl 3.33, 4 Pm 3.52
Pm 0.0000 0.0000 0.5000  4 Tl 3.33, 4 Pm 3.52
Tl 0.5000 0.0000 0.7553  4 Pm 3.33, 5 Ac 3.39-3.63

Calculated values
As for the total magnetization: 1.30 μB per cell. The calculation puts the volume at 35.865 Å³ per atom. As for the space group: P4/nmm (129).


Which of them is the least stable? Correct choice: model two.


Model one:
This record from Alexandria describes crystalline AcPmTl2 at its relaxed geometry. The functional is GGA-PBE.

a = 3.9959 Å, b = 3.9959 Å, c = 8.0439 Å
α = 90.00°, β = 90.00°, γ = 90.00°
Closest atoms and distances in Å follow each position.
Fractional coordinates of all 4 atoms:
Ac 0.5000 0.5000 0.5000  8 Tl 3.57, 4 Ac 4.00
Pm 0.5000 0.5000 0.0000  8 Tl 3.37
Tl 0.0000 0.0000 0.7712  4 Pm 3.37, 4 Ac 3.57, 1 Tl 3.68
Tl 0.0000 0.0000 0.2288  4 Pm 3.37, 4 Ac 3.57, 1 Tl 3.68

Calculated values
As for the total magnetization: 0.00 μB per cell. The calculation puts the volume at 32.110 Å³ per atom. As for the space group: P4/mmm (123).


Model two:
This record from Alexandria describes crystalline AcPmTl2 at its relaxed geometry. The functional is GGA-PBE.

a = 4.0069 Å, b = 4.0069 Å, c = 10.2750 Å
α = 78.76°, β = 78.76°, γ = 60.00°
Closest atoms and distances in Å follow each position.
Fractional coordinates of all 4 atoms:
Pm 0.0000 0.0000 0.0000  6 Tl 3.30
Ac 0.5000 0.5000 0.5000  6 Tl 3.51
Tl 0.7452 0.7452 0.7642  3 Pm 3.30, 3 Ac 3.51
Tl 0.2547 0.2547 0.2358  3 Pm 3.30, 3 Ac 3.51

Calculated values
As for the total magnetization: 0.00 μB per cell. The calculation puts the volume at 34.799 Å³ per atom. As for the space group: R-3m (166).


Which of them is the least stable? Correct choice: model two.


Model one:
This record from Alexandria describes crystalline Ac2Pm2Tl3 at its relaxed geometry. The functional is GGA-PBE.

a = 4.6131 Å, b = 3.7747 Å, c = 13.5961 Å
α = 90.00°, β = 80.23°, γ = 90.00°
Closest atoms and distances in Å follow each position.
Fractional coordinates of all 7 atoms:
Tl 0.8462 0.0000 0.3076  4 Pm 3.27, 4 Ac 3.67
Pm 0.2955 0.5000 0.4089  4 Tl 3.27, 2 Pm 3.36, 1 Ac 3.49
Tl 0.0000 0.0000 0.0000  8 Ac 3.58, 2 Tl 3.77
Pm 0.7045 0.5000 0.5911  4 Tl 3.27, 2 Pm 3.36, 1 Ac 3.49
Ac 0.4258 0.5000 0.1484  1 Pm 3.49, 8 Tl 3.58-3.67, 2 Ac 3.77
Tl 0.1538 0.0000 0.6924  4 Pm 3.27, 4 Ac 3.67
Ac 0.5742 0.5000 0.8516  1 Pm 3.49, 8 Tl 3.58-3.67, 2 Ac 3.77

Calculated values
As for the total magnetization: 0.00 μB per cell. The calculation puts the volume at 33.331 Å³ per atom. As for the space group: Cmmm (65).


Model two:
This record from Alexandria describes crystalline Ac2Pm2Tl3 at its relaxed geometry. The functional is GGA-PBE.

a = 3.9149 Å, b = 8.2796 Å, c = 7.9870 Å
α = 104.13°, β = 75.89°, γ = 90.07°
Closest atoms and distances in Å follow each position.
Fractional coordinates of all 7 atoms:
Tl 0.8875 0.4532 0.2251  4 Pm 3.26-3.43, 3 Ac 3.51-3.55
Ac 0.7054 0.8127 0.5899  5 Tl 3.51-3.73, 1 Pm 3.82, 2 Ac 3.91
Pm 0.5658 0.2651 0.8687  6 Tl 3.26-3.43
Tl 0.0000 0.0000 0.0000  4 Pm 3.29
Ac 0.2946 0.1873 0.4101  5 Tl 3.51-3.73, 1 Pm 3.82, 2 Ac 3.91
Tl 0.1125 0.5468 0.7749  4 Pm 3.26-3.43, 3 Ac 3.51-3.55
Pm 0.4342 0.7349 0.1313  6 Tl 3.26-3.43

Calculated values
As for the total magnetization: 0.00 μB per cell. The calculation puts the volume at 34.716 Å³ per atom. As for the space group: P-1 (2).


Which of them is the least stable? Correct choice: model one.